Cd3MoO6 | Alexandria via LeMat-Bulk | PBE with a Hubbard U | optimized geometry; space-group type = Cmc2_1, No. 36; density of states at the Fermi level = 0.003 states/eV/atom; relative energy among the computed polymorphs = 4.2 kJ per mole of atoms
1.0
-3.225 4.793 -2.161
-5.409 -1.493 4.761
4.335 4.610 3.756
O Cd Mo
12 6 2
Cartesian
-1.278 2.456 2.216
0.134 6.512 2.530
-3.887 0.587 4.191
-6.784 0.987 3.680
1.609 4.099 5.156
-5.199 3.242 4.612
-1.633 3.488 5.035
-4.858 2.250 1.903
0.934 9.228 1.637
-2.936 4.824 1.140
-3.292 5.856 3.959
1.951 3.108 2.447
-3.494 4.432 5.641
0.587 1.409 1.647
-0.029 3.196 6.530
-1.634 4.577 3.015
-1.335 1.357 4.231
-2.878 2.645 0.758
-5.166 1.785 3.592
-0.480 8.127 1.862